This record from the Alexandria database describes Li2MnO2 at its PBEsol-relaxed geometry. The functional is SCAN.

Structure (CIF):
```
data_Li2MnO2
_chemical_formula_sum 'Li4 Mn2 O4'
_space_group_name_H-M_alt 'P 4/m b m'
_space_group_IT_number 127
_space_group_name_Hall '-P 4 2ab'
_cell_length_a 5.319
_cell_length_b 5.319
_cell_length_c 2.955
_cell_angle_alpha 90.00
_cell_angle_beta 90.00
_cell_angle_gamma 90.00
loop_
_atom_site_label
_atom_site_fract_x
_atom_site_fract_y
_atom_site_fract_z
Li1 0.140 0.360 0.000
Mn1 0.000 0.000 0.500
O1 0.186 0.686 0.500
```

Properties
**Formation energy without anion corrections**: -41.21 kcal/mol of atoms
**Calculated volume**: 83.6 Å³ per cell
**Energy**: -88.87 eV per cell